A plane-wave DFT calculation with PBE was carried out for a relaxed structure of SrBeC. Values from VASP.

Properties
ΔE_f, eV/atom: 0.172
Total energy, eV/atom: -4.7048
Symmetry: P4/nmm, No. 129

```
&SYSTEM
  ibrav = 0, nat = 6, ntyp = 3
/
ATOMIC_SPECIES
Sr 87.62 Sr.upf
Be 9.01 Be.upf
C 12.01 C.upf
CELL_PARAMETERS angstrom
5.5737 0.0000 0.0000
0.0000 5.5737 0.0000
0.0000 0.0000 3.3312
ATOMIC_POSITIONS crystal
Sr 0.2500 0.7500 0.0000
Sr 0.7500 0.2500 0.0000
Be 0.2500 0.2500 0.3942
Be 0.7500 0.7500 0.6058
C 0.2500 0.2500 0.8839
C 0.7500 0.7500 0.1161
```